(1)
## Sr2GeAs2 (PBE)

Data for an optimized crystal structure of Sr2GeAs2.

Unit cell a=6.3993 b=8.6231 c=7.5696 alpha=65.52 beta=64.99 gamma=68.22
Closest atoms and distances in Å follow each position.
Positions (direct):
As 0.6240 0.5895 0.1626  1 Ge 2.42
As 0.8434 0.7916 0.5216  1 Ge 2.50
As 0.1566 0.2084 0.4784  1 Ge 2.50
As 0.3760 0.4105 0.8374  1 Ge 2.42
Ge 0.3536 0.1552 0.1377  2 As 2.42-2.50
Ge 0.6464 0.8448 0.8623  2 As 2.42-2.50
Sr 0.3543 0.7957 0.4957  1 Ge 3.16, 5 As 3.20-3.27
Sr 0.6457 0.2043 0.5043  1 Ge 3.16, 5 As 3.20-3.27
Sr 0.1147 0.5840 0.1865  5 As 3.06-3.22
Sr 0.8853 0.4160 0.8135  5 As 3.06-3.22

Properties
The value obtained for the formation energy is -357 kJ/mol of formula units. The calculation puts the density of states at the Fermi level at 0.1 states/eV/f.u. As for the crystal system: monoclinic. The distance to the lowest polymorph of the same formula comes out at 0 meV/atom.

(2)
## RbNa2Li2 (PBE)

Data for an optimized crystal structure of RbNa2Li2.

Unit cell a=5.2044 b=5.2044 c=8.3423 alpha=71.82 beta=71.82 gamma=90.00
Closest atoms and distances in Å follow each position.
Positions (direct):
Na 0.6217 0.6217 0.7566  4 Li 3.23
Na 0.3783 0.3783 0.2434  4 Li 3.23
Li 0.7500 0.2500 0.5000  4 Na 3.23
Li 0.2500 0.7500 0.5000  4 Na 3.23
Rb 0.0000 0.0000 0.0000  8 Na 4.11, 8 Li 4.56

Properties
The value obtained for the formation energy is 67 kJ/mol of formula units. The calculation puts the density of states at the Fermi level at 3.0 states/eV/f.u. As for the crystal system: tetragonal. The distance to the lowest polymorph of the same formula comes out at 32 meV/atom.

Repeat the first record exactly.
## Sr2GeAs2 (PBE)

Data for an optimized crystal structure of Sr2GeAs2.

Unit cell a=6.3993 b=8.6231 c=7.5696 alpha=65.52 beta=64.99 gamma=68.22
Closest atoms and distances in Å follow each position.
Positions (direct):
As 0.6240 0.5895 0.1626  1 Ge 2.42
As 0.8434 0.7916 0.5216  1 Ge 2.50
As 0.1566 0.2084 0.4784  1 Ge 2.50
As 0.3760 0.4105 0.8374  1 Ge 2.42
Ge 0.3536 0.1552 0.1377  2 As 2.42-2.50
Ge 0.6464 0.8448 0.8623  2 As 2.42-2.50
Sr 0.3543 0.7957 0.4957  1 Ge 3.16, 5 As 3.20-3.27
Sr 0.6457 0.2043 0.5043  1 Ge 3.16, 5 As 3.20-3.27
Sr 0.1147 0.5840 0.1865  5 As 3.06-3.22
Sr 0.8853 0.4160 0.8135  5 As 3.06-3.22

Properties
The value obtained for the formation energy is -357 kJ/mol of formula units. The calculation puts the density of states at the Fermi level at 0.1 states/eV/f.u. As for the crystal system: monoclinic. The distance to the lowest polymorph of the same formula comes out at 0 meV/atom.

Among the records above, which one has the highest distance to the lowest polymorph of the same formula? RbNa2Li2

The lowest distance to the lowest polymorph of the same formula belongs to which entry? Sr2GeAs2

Which of these has the lowest distance to the lowest polymorph of the same formula? Sr2GeAs2